# 1
! KSn3Sb, optimized geometry, DFT PBE; values from VASP
&SYSTEM
  ibrav = 0, nat = 5, ntyp = 3
/
ATOMIC_SPECIES
K 39.10 K.upf
Sn 118.71 Sn.upf
Sb 121.76 Sb.upf
ATOMIC_POSITIONS angstrom
K 0.0000 0.0000 0.0000
Sn 0.0000 2.9440 2.9440
Sn 2.9440 0.0000 2.9440
Sn 2.9440 2.9440 0.0000
Sb 2.9440 2.9440 2.9440
CELL_PARAMETERS angstrom
5.8881 0.0000 0.0000
0.0000 5.8881 0.0000
0.0000 0.0000 5.8881
! excess energy over the best structure of this formula in the dataset = 387 meV per atom
! formation energy from raw total energies = 338 meV/atom
! symmetry = Pm-3m, No. 221

=====

# 2
! CsBe3Ge, optimized geometry, DFT PBE; values from VASP
&SYSTEM
  ibrav = 0, nat = 5, ntyp = 3
/
ATOMIC_SPECIES
Cs 132.91 Cs.upf
Be 9.01 Be.upf
Ge 72.64 Ge.upf
ATOMIC_POSITIONS angstrom
Cs 0.0000 0.0000 0.0000
Be 0.0000 2.3606 2.3606
Be 2.3606 0.0000 2.3606
Be 2.3606 2.3606 0.0000
Ge 2.3606 2.3606 2.3606
CELL_PARAMETERS angstrom
4.7213 0.0000 0.0000
0.0000 4.7213 0.0000
0.0000 0.0000 4.7213
! formation enthalpy at 0 K = 1109 meV per atom
! excess energy over the best structure of this formula in the dataset = 0 meV per atom
! symmetry = Pm-3m, No. 221